No. 1
{
  "formula": "MgV2CuO7",
  "functional": "SCAN",
  "state": "PBEsol geometry",
  "lattice": [[8.302, 0.000, 0.000], [0.000, 9.667, -0.375], [0.000, -0.865, 10.142]],
  "species": ["Mg", "Mg", "Mg", "Mg", "Mg", "Mg", "V", "V", "V", "V", "V", "V", "V", "V", "V", "V", "V", "V", "Cu", "Cu", "Cu", "Cu", "Cu", "Cu", "O", "O", "O", "O", "O", "O", "O", "O", "O", "O", "O", "O", "O", "O", "O", "O", "O", "O", "O", "O", "O", "O", "O", "O", "O", "O", "O", "O", "O", "O", "O", "O", "O", "O", "O", "O", "O", "O", "O", "O", "O", "O"],
  "fractional_positions": [[0.566, 0.150, 0.581], [0.072, 0.500, 0.750], [0.566, 0.850, 0.919], [0.928, 0.500, 0.250], [0.434, 0.850, 0.419], [0.434, 0.150, 0.081], [0.786, 0.171, 0.292], [0.258, 0.169, 0.377], [0.742, 0.169, 0.877], [0.214, 0.171, 0.792], [0.720, 0.514, 0.956], [0.258, 0.831, 0.123], [0.280, 0.514, 0.456], [0.742, 0.831, 0.623], [0.720, 0.486, 0.544], [0.280, 0.486, 0.044], [0.214, 0.829, 0.708], [0.786, 0.829, 0.208], [0.072, 0.796, 0.408], [0.928, 0.204, 0.592], [0.562, 0.500, 0.250], [0.072, 0.204, 0.092], [0.438, 0.500, 0.750], [0.928, 0.796, 0.908], [0.244, 0.195, 0.962], [0.234, 0.855, 0.293], [0.141, 0.000, 0.750], [0.100, 0.456, 0.106], [0.594, 0.930, 0.567], [0.073, 0.278, 0.731], [0.669, 0.340, 0.908], [0.900, 0.456, 0.606], [0.269, 0.471, 0.872], [0.594, 0.070, 0.933], [0.269, 0.529, 0.628], [0.573, 0.606, 0.884], [0.086, 0.841, 0.039], [0.927, 0.278, 0.231], [0.331, 0.660, 0.092], [0.669, 0.660, 0.592], [0.073, 0.722, 0.769], [0.406, 0.070, 0.433], [0.756, 0.195, 0.462], [0.427, 0.394, 0.116], [0.611, 0.818, 0.283], [0.731, 0.529, 0.128], [0.914, 0.841, 0.539], [0.731, 0.471, 0.372], [0.100, 0.544, 0.394], [0.427, 0.606, 0.384], [0.900, 0.544, 0.894], [0.389, 0.818, 0.783], [0.389, 0.182, 0.717], [0.914, 0.159, 0.961], [0.927, 0.722, 0.269], [0.244, 0.805, 0.538], [0.859, 0.000, 0.250], [0.766, 0.855, 0.793], [0.406, 0.930, 0.067], [0.086, 0.159, 0.461], [0.756, 0.805, 0.038], [0.234, 0.145, 0.207], [0.573, 0.394, 0.616], [0.331, 0.340, 0.408], [0.766, 0.145, 0.707], [0.611, 0.182, 0.217]],
  "total_energy_ev_per_atom": -11.3273
}

***

No. 2
{
  "formula": "Mg14VCuO16",
  "functional": "SCAN",
  "state": "PBEsol geometry",
  "lattice": [[4.190, 0.000, 0.000], [0.000, 8.447, 0.000], [0.000, 0.000, 8.517]],
  "species": ["Mg", "Mg", "Mg", "Mg", "Mg", "Mg", "Mg", "Mg", "Mg", "Mg", "Mg", "Mg", "Mg", "Mg", "V", "Cu", "O", "O", "O", "O", "O", "O", "O", "O", "O", "O", "O", "O", "O", "O", "O", "O"],
  "fractional_positions": [[0.000, 0.500, 0.000], [0.000, 0.500, 0.500], [0.500, 0.000, 0.243], [0.500, 0.000, 0.757], [0.500, 0.500, 0.248], [0.500, 0.500, 0.752], [0.500, 0.247, 0.000], [0.500, 0.251, 0.500], [0.500, 0.753, 0.000], [0.500, 0.749, 0.500], [0.000, 0.249, 0.245], [0.000, 0.249, 0.755], [0.000, 0.751, 0.245], [0.000, 0.751, 0.755], [0.000, 0.000, 0.500], [0.000, 0.000, 0.000], [0.000, 0.259, 0.000], [0.000, 0.247, 0.500], [0.000, 0.741, 0.000], [0.000, 0.753, 0.500], [0.500, 0.249, 0.251], [0.500, 0.249, 0.749], [0.500, 0.751, 0.251], [0.500, 0.751, 0.749], [0.500, 0.000, 0.000], [0.500, 0.000, 0.500], [0.500, 0.500, 0.000], [0.500, 0.500, 0.500], [0.000, 0.000, 0.267], [0.000, 0.000, 0.733], [0.000, 0.500, 0.253], [0.000, 0.500, 0.747]],
  "total_energy_ev_per_atom": -9.1398
}

***

No. 3
{
  "formula": "Mg30VCuO32",
  "functional": "SCAN",
  "state": "PBEsol geometry",
  "lattice": [[8.436, 0.000, 0.000], [0.000, 8.436, 0.000], [0.000, 0.000, 8.459]],
  "species": ["Mg", "Mg", "Mg", "Mg", "Mg", "Mg", "Mg", "Mg", "Mg", "Mg", "Mg", "Mg", "Mg", "Mg", "Mg", "Mg", "Mg", "Mg", "Mg", "Mg", "Mg", "Mg", "Mg", "Mg", "Mg", "Mg", "Mg", "Mg", "Mg", "Mg", "V", "Cu", "O", "O", "O", "O", "O", "O", "O", "O", "O", "O", "O", "O", "O", "O", "O", "O", "O", "O", "O", "O", "O", "O", "O", "O", "O", "O", "O", "O", "O", "O", "O", "O"],
  "fractional_positions": [[0.000, 0.500, 0.000], [0.000, 0.500, 0.500], [0.500, 0.000, 0.000], [0.500, 0.000, 0.500], [0.500, 0.500, 0.000], [0.500, 0.500, 0.500], [0.000, 0.250, 0.246], [0.000, 0.250, 0.754], [0.000, 0.750, 0.246], [0.000, 0.750, 0.754], [0.500, 0.250, 0.249], [0.500, 0.250, 0.751], [0.500, 0.750, 0.249], [0.500, 0.750, 0.751], [0.250, 0.000, 0.246], [0.250, 0.000, 0.754], [0.250, 0.500, 0.249], [0.250, 0.500, 0.751], [0.750, 0.000, 0.246], [0.750, 0.000, 0.754], [0.750, 0.500, 0.249], [0.750, 0.500, 0.751], [0.248, 0.248, 0.000], [0.251, 0.251, 0.500], [0.248, 0.752, 0.000], [0.251, 0.749, 0.500], [0.752, 0.248, 0.000], [0.749, 0.251, 0.500], [0.752, 0.752, 0.000], [0.749, 0.749, 0.500], [0.000, 0.000, 0.500], [0.000, 0.000, 0.000], [0.259, 0.000, 0.000], [0.247, 0.000, 0.500], [0.251, 0.500, 0.000], [0.249, 0.500, 0.500], [0.741, 0.000, 0.000], [0.753, 0.000, 0.500], [0.749, 0.500, 0.000], [0.751, 0.500, 0.500], [0.249, 0.249, 0.250], [0.249, 0.249, 0.750], [0.249, 0.751, 0.250], [0.249, 0.751, 0.750], [0.751, 0.249, 0.250], [0.751, 0.249, 0.750], [0.751, 0.751, 0.250], [0.751, 0.751, 0.750], [0.000, 0.000, 0.268], [0.000, 0.000, 0.732], [0.000, 0.500, 0.253], [0.000, 0.500, 0.747], [0.500, 0.000, 0.253], [0.500, 0.000, 0.747], [0.500, 0.500, 0.251], [0.500, 0.500, 0.749], [0.000, 0.259, 0.000], [0.000, 0.247, 0.500], [0.000, 0.741, 0.000], [0.000, 0.753, 0.500], [0.500, 0.251, 0.000], [0.500, 0.249, 0.500], [0.500, 0.749, 0.000], [0.500, 0.751, 0.500]],
  "total_energy_ev_per_atom": -8.8745
}

***

No. 4
{
  "formula": "MgV4Cu3O14",
  "functional": "SCAN",
  "state": "PBEsol geometry",
  "lattice": [[5.522, 0.011, 0.000], [-0.204, 5.573, 0.007], [-2.340, -2.522, 9.499]],
  "species": ["Mg", "V", "V", "V", "V", "Cu", "Cu", "Cu", "O", "O", "O", "O", "O", "O", "O", "O", "O", "O", "O", "O", "O", "O"],
  "fractional_positions": [[0.913, 0.767, 0.023], [0.494, 0.050, 0.212], [0.952, 0.497, 0.287], [0.494, 0.946, 0.786], [0.058, 0.498, 0.714], [0.265, 0.119, 0.487], [0.111, 0.267, 0.985], [0.740, 0.880, 0.515], [0.961, 0.784, 0.396], [0.200, 0.034, 0.102], [0.035, 0.213, 0.601], [0.779, 0.987, 0.896], [0.492, 0.986, 0.373], [0.036, 0.516, 0.135], [0.504, 0.005, 0.624], [0.979, 0.489, 0.870], [0.641, 0.350, 0.242], [0.372, 0.632, 0.757], [0.139, 0.321, 0.368], [0.654, 0.846, 0.130], [0.874, 0.682, 0.637], [0.307, 0.130, 0.861]],
  "total_energy_ev_per_atom": -11.5763
}

***

No. 5
{
  "formula": "YMg30CuO32",
  "functional": "SCAN",
  "state": "PBEsol geometry",
  "lattice": [[8.501, 0.000, 0.000], [0.000, 8.508, 0.000], [0.000, 0.000, 8.508]],
  "species": ["Y", "Mg", "Mg", "Mg", "Mg", "Mg", "Mg", "Mg", "Mg", "Mg", "Mg", "Mg", "Mg", "Mg", "Mg", "Mg", "Mg", "Mg", "Mg", "Mg", "Mg", "Mg", "Mg", "Mg", "Mg", "Mg", "Mg", "Mg", "Mg", "Mg", "Mg", "Cu", "O", "O", "O", "O", "O", "O", "O", "O", "O", "O", "O", "O", "O", "O", "O", "O", "O", "O", "O", "O", "O", "O", "O", "O", "O", "O", "O", "O", "O", "O", "O", "O"],
  "fractional_positions": [[0.000, 0.000, 0.000], [0.000, 0.500, 0.000], [0.000, 0.000, 0.500], [0.500, 0.000, 0.000], [0.500, 0.500, 0.000], [0.500, 0.000, 0.500], [0.500, 0.500, 0.500], [0.000, 0.259, 0.259], [0.000, 0.741, 0.259], [0.000, 0.259, 0.741], [0.000, 0.741, 0.741], [0.500, 0.252, 0.252], [0.500, 0.748, 0.252], [0.500, 0.252, 0.748], [0.500, 0.748, 0.748], [0.255, 0.257, 0.000], [0.255, 0.743, 0.000], [0.248, 0.254, 0.500], [0.248, 0.746, 0.500], [0.745, 0.257, 0.000], [0.745, 0.743, 0.000], [0.752, 0.254, 0.500], [0.752, 0.746, 0.500], [0.255, 0.000, 0.257], [0.248, 0.500, 0.254], [0.255, 0.000, 0.743], [0.248, 0.500, 0.746], [0.745, 0.000, 0.257], [0.752, 0.500, 0.254], [0.745, 0.000, 0.743], [0.752, 0.500, 0.746], [0.000, 0.500, 0.500], [0.259, 0.000, 0.000], [0.253, 0.500, 0.000], [0.253, 0.000, 0.500], [0.263, 0.500, 0.500], [0.741, 0.000, 0.000], [0.747, 0.500, 0.000], [0.747, 0.000, 0.500], [0.737, 0.500, 0.500], [0.249, 0.249, 0.249], [0.249, 0.751, 0.249], [0.249, 0.249, 0.751], [0.249, 0.751, 0.751], [0.751, 0.249, 0.249], [0.751, 0.751, 0.249], [0.751, 0.249, 0.751], [0.751, 0.751, 0.751], [0.000, 0.257, 0.000], [0.000, 0.743, 0.000], [0.000, 0.238, 0.500], [0.000, 0.762, 0.500], [0.500, 0.250, 0.000], [0.500, 0.750, 0.000], [0.500, 0.248, 0.500], [0.500, 0.752, 0.500], [0.000, 0.000, 0.257], [0.000, 0.500, 0.238], [0.000, 0.000, 0.743], [0.000, 0.500, 0.762], [0.500, 0.000, 0.250], [0.500, 0.500, 0.248], [0.500, 0.000, 0.750], [0.500, 0.500, 0.752]],
  "total_energy_ev_per_atom": -9.0607
}

***

No. 6
{
  "formula": "YMg14CuO16",
  "functional": "SCAN",
  "state": "PBEsol geometry",
  "lattice": [[4.273, 0.000, 0.000], [0.000, 8.598, 0.000], [0.000, 0.000, 8.598]],
  "species": ["Y", "Mg", "Mg", "Mg", "Mg", "Mg", "Mg", "Mg", "Mg", "Mg", "Mg", "Mg", "Mg", "Mg", "Mg", "Cu", "O", "O", "O", "O", "O", "O", "O", "O", "O", "O", "O", "O", "O", "O", "O", "O"],
  "fractional_positions": [[0.000, 0.000, 0.000], [0.000, 0.500, 0.000], [0.000, 0.000, 0.500], [0.500, 0.264, 0.000], [0.500, 0.736, 0.000], [0.500, 0.256, 0.500], [0.500, 0.744, 0.500], [0.500, 0.000, 0.264], [0.500, 0.500, 0.256], [0.500, 0.000, 0.736], [0.500, 0.500, 0.744], [0.000, 0.262, 0.262], [0.000, 0.738, 0.262], [0.000, 0.262, 0.738], [0.000, 0.738, 0.738], [0.000, 0.500, 0.500], [0.000, 0.000, 0.257], [0.000, 0.500, 0.235], [0.000, 0.000, 0.743], [0.000, 0.500, 0.765], [0.500, 0.249, 0.249], [0.500, 0.751, 0.249], [0.500, 0.249, 0.751], [0.500, 0.751, 0.751], [0.500, 0.000, 0.000], [0.500, 0.500, 0.000], [0.500, 0.000, 0.500], [0.500, 0.500, 0.500], [0.000, 0.257, 0.000], [0.000, 0.743, 0.000], [0.000, 0.235, 0.500], [0.000, 0.765, 0.500]],
  "total_energy_ev_per_atom": -9.5012
}

***

No. 7
{
  "formula": "Mg14ZnCuO16",
  "functional": "SCAN",
  "state": "PBEsol geometry",
  "lattice": [[-0.819, 0.164, -4.132], [4.930, -6.741, -1.245], [-6.655, -5.075, 1.119]],
  "species": ["Mg", "Mg", "Mg", "Mg", "Mg", "Mg", "Mg", "Mg", "Mg", "Mg", "Mg", "Mg", "Mg", "Mg", "Zn", "Cu", "O", "O", "O", "O", "O", "O", "O", "O", "O", "O", "O", "O", "O", "O", "O", "O"],
  "fractional_positions": [[0.000, 0.500, 0.000], [0.000, 0.000, 0.500], [0.500, 0.250, 0.000], [0.500, 0.750, 0.000], [0.500, 0.251, 0.500], [0.500, 0.749, 0.500], [0.500, 0.000, 0.250], [0.500, 0.500, 0.251], [0.500, 0.000, 0.750], [0.500, 0.500, 0.749], [0.000, 0.251, 0.251], [0.000, 0.749, 0.251], [0.000, 0.251, 0.749], [0.000, 0.749, 0.749], [0.000, 0.000, 0.000], [0.000, 0.500, 0.500], [0.000, 0.000, 0.253], [0.000, 0.500, 0.248], [0.000, 0.000, 0.747], [0.000, 0.500, 0.752], [0.500, 0.250, 0.250], [0.500, 0.750, 0.250], [0.500, 0.250, 0.750], [0.500, 0.750, 0.750], [0.500, 0.000, 0.000], [0.500, 0.500, 0.000], [0.500, 0.000, 0.500], [0.500, 0.500, 0.500], [0.000, 0.253, 0.000], [0.000, 0.747, 0.000], [0.000, 0.248, 0.500], [0.000, 0.752, 0.500]],
  "total_energy_ev_per_atom": -8.9543
}

***

No. 8
{
  "formula": "MgZnCu2O",
  "functional": "SCAN",
  "state": "PBEsol geometry",
  "lattice": [[-1.679, -3.503, -0.025], [3.507, -1.672, -1.270], [1.135, -0.572, 3.885]],
  "species": ["O", "Zn", "Mg", "Cu", "Cu"],
  "fractional_positions": [[0.000, 0.000, 0.000], [0.500, 0.500, 0.500], [0.500, 0.000, 0.000], [0.000, 0.000, 0.500], [0.000, 0.500, 0.000]],
  "total_energy_ev_per_atom": -11.4331
}